DFT (PBE) results for a relaxed structure of Na2Tl2As3.

Summary:
Its total magnetization is 0.0 Bohr magnetons per cell. The calculated formation energy comes out at -1.0 eV/f.u.

CIF file:
```
data_Na2Tl2As3
_cell_length_a 13.016
_cell_length_b 4.464
_cell_length_c 7.274
_cell_angle_alpha 90.00
_cell_angle_beta 117.75
_cell_angle_gamma 90.00
_space_group_name_H-M_alt 'C 1 2/m 1'
_space_group_IT_number 12
loop_
_space_group_symop_operation_xyz
'x,y,z'
'-x,-y,-z'
'-x,y,-z'
'x,-y,z'
'x+1/2,y+1/2,z'
'-x+1/2,-y+1/2,-z'
'-x+1/2,y+1/2,-z'
'x+1/2,-y+1/2,z'
loop_
_atom_site_label
_atom_site_type_symbol
_atom_site_fract_x
_atom_site_fract_y
_atom_site_fract_z
_atom_site_occupancy
Na1 Na 0.170 0.000 0.272 1
Tl1 Tl 0.122 0.000 0.791 1
As1 As 0.000 0.500 0.000 1
As2 As 0.068 0.500 0.420 1
```